No. 1
TaNbCdAu2 | PBE | optimized geometry

a b c (Å): 4.959 4.959 5.183
angles (deg): 90.00 90.00 90.00
Positions (direct):
Ta  0.000  0.000  0.000
Nb  0.500  0.500  0.500
Cd  0.000  0.000  0.500
Au  0.000  0.500  0.000
Au  0.500  0.000  0.000

Computed properties:
* calculated total energy: -21.8 eV for the cell shown
* total moment: 0.0 μB/f.u.
* crystal system: tetragonal
* energy of formation: 1.516 eV per atom
* space-group type: P4/mmm, No. 123


No. 2
NbCdTe2Au | PBE | optimized geometry

a b c (Å): 5.517 5.517 5.068
angles (deg): 90.00 90.00 90.00
Positions (direct):
Nb  0.000  0.000  0.000
Cd  0.500  0.500  0.500
Te  0.000  0.500  0.500
Te  0.500  0.000  0.500
Au  0.500  0.500  0.000

Computed properties:
* calculated total energy: -15.5 eV for the cell shown
* total moment: 2.6 μB/f.u.
* E_form (uncorrected): 1.009 eV/atom
* crystal system: tetragonal
* space-group type: P4/mmm, No. 123


No. 3
Nb2TlCdAu | PBE | optimized geometry

a b c (Å): 5.082 5.082 5.082
angles (deg): 90.00 90.00 90.00
Positions (direct):
Nb  0.000  0.500  0.000
Nb  0.500  0.000  0.000
Tl  0.000  0.000  0.500
Cd  0.500  0.500  0.500
Au  0.500  0.500  0.000

Computed properties:
* calculated total energy: -21.0 eV for the cell shown
* total moment: 0.0 μB/f.u.
* crystal system: tetragonal
* energy of formation: 1.145 eV per atom
* space-group type: P4/mmm, No. 123


No. 4
NbCd2WAu | PBE | optimized geometry

a b c (Å): 5.123 5.123 4.921
angles (deg): 90.00 90.00 90.00
Positions (direct):
Nb  0.000  0.000  0.000
Cd  0.000  0.500  0.500
Cd  0.500  0.000  0.500
W  0.500  0.500  0.500
Au  0.500  0.500  0.000

Computed properties:
* calculated total energy: -19.2 eV for the cell shown
* total moment: 0.1 μB/f.u.
* crystal system: tetragonal
* energy of formation: 1.777 eV per atom
* space-group type: P4/mmm, No. 123


No. 5
NdCd10Au2 | PBE | optimized geometry

a b c (Å): 9.969 7.664 7.588
angles (deg): 81.62 49.52 48.86
Positions (direct):
Nd  0.000  0.000  0.000
Cd  0.000  0.500  0.000
Cd  0.007  0.650  0.350
Cd  0.288  0.503  0.497
Cd  0.350  0.993  0.007
Cd  0.497  0.712  0.288
Cd  0.500  0.000  0.500
Cd  0.503  0.288  0.712
Cd  0.650  0.007  0.993
Cd  0.712  0.497  0.503
Cd  0.993  0.350  0.650
Au  0.000  0.000  0.500
Au  0.500  0.500  0.000

Computed properties:
* calculated total energy: -22.7 eV for the cell shown
* total moment: 0.0 μB/f.u.
* crystal system: orthorhombic
* energy of formation: -0.173 eV per atom
* space-group type: Fmmm, No. 69


No. 6
Nd2CdAu | PBE | optimized geometry

a b c (Å): 5.350 5.350 5.350
angles (deg): 60.00 60.00 60.00
Positions (direct):
Nd  0.250  0.250  0.250
Nd  0.750  0.750  0.750
Cd  0.000  0.000  0.000
Au  0.500  0.500  0.500

Computed properties:
* calculated total energy: -15.8 eV for the cell shown
* total moment: 0.1 μB/f.u.
* crystal system: cubic
* energy of formation: -0.507 eV per atom
* space-group type: Fm-3m, No. 225


No. 7
NdCd2Au | PBE | optimized geometry

a b c (Å): 5.058 5.058 5.058
angles (deg): 60.00 60.00 60.00
Positions (direct):
Nd  0.000  0.000  0.000
Cd  0.250  0.250  0.250
Cd  0.750  0.750  0.750
Au  0.500  0.500  0.500

Computed properties:
* calculated total energy: -11.4 eV for the cell shown
* total moment: 0.0 μB/f.u.
* crystal system: cubic
* energy of formation: -0.375 eV per atom
* space-group type: Fm-3m, No. 225


No. 8
Nd4CdAu2 | PBE | optimized geometry

a b c (Å): 9.933 9.933 9.933
angles (deg): 29.88 29.88 29.88
Positions (direct):
Nd  0.120  0.120  0.120
Nd  0.293  0.293  0.293
Nd  0.707  0.707  0.707
Nd  0.880  0.880  0.880
Cd  0.500  0.500  0.500
Au  0.399  0.399  0.399
Au  0.601  0.601  0.601

Computed properties:
* calculated total energy: -29.2 eV for the cell shown
* total moment: 0.0 μB/f.u.
* crystal system: trigonal
* energy of formation: -0.374 eV per atom
* space-group type: R-3m, No. 166


No. 9
Nd3Cd4Au4 | PBE | optimized geometry

a b c (Å): 9.220 9.220 9.220
angles (deg): 154.24 127.62 59.27
Positions (direct):
Nd  0.000  0.000  0.000
Nd  0.383  0.883  0.500
Nd  0.617  0.117  0.500
Cd  0.023  0.333  0.690
Cd  0.357  0.667  0.690
Cd  0.643  0.333  0.310
Cd  0.977  0.667  0.310
Au  0.240  0.240  0.000
Au  0.306  0.500  0.806
Au  0.694  0.500  0.194
Au  0.760  0.760  0.000

Computed properties:
* calculated total energy: -37.1 eV for the cell shown
* total moment: 0.0 μB/f.u.
* crystal system: orthorhombic
* energy of formation: -0.547 eV per atom
* space-group type: Immm, No. 71


No. 10
Nd3Cd2Au3 | PBE | optimized geometry

a b c (Å): 8.923 8.923 6.011
angles (deg): 90.00 90.00 120.00
Positions (direct):
Nd  0.000  0.286  0.250
Nd  0.000  0.714  0.750
Nd  0.286  0.000  0.250
Nd  0.286  0.286  0.750
Nd  0.714  0.000  0.750
Nd  0.714  0.714  0.250
Cd  0.333  0.667  0.000
Cd  0.333  0.667  0.500
Cd  0.667  0.333  0.000
Cd  0.667  0.333  0.500
Au  0.000  0.375  0.750
Au  0.000  0.625  0.250
Au  0.375  0.000  0.750
Au  0.375  0.375  0.250
Au  0.625  0.000  0.250
Au  0.625  0.625  0.750

Computed properties:
* calculated total energy: -61.9 eV for the cell shown
* total moment: 0.0 μB/f.u.
* crystal system: hexagonal
* energy of formation: -0.624 eV per atom
* space-group type: P6_3/mcm, No. 193


No. 11
NdCd3Au | PBE | optimized geometry

a b c (Å): 9.297 4.566 11.520
angles (deg): 90.00 90.00 90.00
Positions (direct):
Nd  0.197  0.250  0.005
Nd  0.303  0.750  0.505
Nd  0.697  0.250  0.495
Nd  0.803  0.750  0.995
Cd  0.067  0.250  0.394
Cd  0.084  0.750  0.197
Cd  0.137  0.750  0.803
Cd  0.363  0.250  0.303
Cd  0.416  0.250  0.697
Cd  0.433  0.750  0.894
Cd  0.567  0.250  0.106
Cd  0.584  0.750  0.303
Cd  0.637  0.750  0.697
Cd  0.863  0.250  0.197
Cd  0.916  0.250  0.803
Cd  0.933  0.750  0.606
Au  0.131  0.250  0.632
Au  0.369  0.750  0.132
Au  0.631  0.250  0.868
Au  0.869  0.750  0.368

Computed properties:
* calculated total energy: -49.9 eV for the cell shown
* total moment: 0.0 μB/f.u.
* crystal system: orthorhombic
* energy of formation: -0.336 eV per atom
* space-group type: Pnma, No. 62


No. 12
NdCd6Au12 | PBE | optimized geometry

a b c (Å): 7.745 7.745 7.745
angles (deg): 104.48 104.48 104.48
Positions (direct):
Nd  0.000  0.000  0.000
Cd  0.297  0.297  0.691
Cd  0.297  0.691  0.297
Cd  0.309  0.703  0.703
Cd  0.691  0.297  0.297
Cd  0.703  0.309  0.703
Cd  0.703  0.703  0.309
Au  0.100  0.346  0.346
Au  0.113  0.500  0.887
Au  0.113  0.887  0.500
Au  0.346  0.100  0.346
Au  0.346  0.346  0.100
Au  0.500  0.113  0.887
Au  0.500  0.887  0.113
Au  0.654  0.654  0.900
Au  0.654  0.900  0.654
Au  0.887  0.113  0.500
Au  0.887  0.500  0.113
Au  0.900  0.654  0.654

Computed properties:
* calculated total energy: -52.7 eV for the cell shown
* total moment: 0.0 μB/f.u.
* crystal system: trigonal
* energy of formation: -0.163 eV per atom
* space-group type: R-3m, No. 166


No. 13
Nd2CdAu2 | PBE | optimized geometry

a b c (Å): 8.104 8.104 3.922
angles (deg): 90.00 90.00 90.00
Positions (direct):
Nd  0.171  0.329  0.000
Nd  0.329  0.829  0.000
Nd  0.671  0.171  0.000
Nd  0.829  0.671  0.000
Cd  0.000  0.000  0.500
Cd  0.500  0.500  0.500
Au  0.129  0.629  0.500
Au  0.371  0.129  0.500
Au  0.629  0.871  0.500
Au  0.871  0.371  0.500

Computed properties:
* calculated total energy: -41.1 eV for the cell shown
* total moment: 0.0 μB/f.u.
* crystal system: tetragonal
* energy of formation: -0.712 eV per atom
* space-group type: P4/mbm, No. 127


No. 14
Nd2CdAu | PBE | optimized geometry

a b c (Å): 3.788 3.788 7.554
angles (deg): 90.00 90.00 90.00
Positions (direct):
Nd  0.000  0.000  0.236
Nd  0.000  0.000  0.764
Cd  0.500  0.500  0.500
Au  0.500  0.500  0.000

Computed properties:
* calculated total energy: -15.9 eV for the cell shown
* total moment: 0.0 μB/f.u.
* crystal system: tetragonal
* energy of formation: -0.539 eV per atom
* space-group type: P4/mmm, No. 123


No. 15
NdCd5Au2 | PBE | optimized geometry

a b c (Å): 7.166 7.166 7.166
angles (deg): 147.67 104.93 84.11
Positions (direct):
Nd  0.000  0.000  0.000
Cd  0.161  0.357  0.804
Cd  0.448  0.643  0.804
Cd  0.500  0.000  0.500
Cd  0.552  0.357  0.196
Cd  0.839  0.643  0.196
Au  0.225  0.725  0.500
Au  0.775  0.275  0.500

Computed properties:
* calculated total energy: -18.5 eV for the cell shown
* total moment: 0.0 μB/f.u.
* crystal system: orthorhombic
* energy of formation: -0.327 eV per atom
* space-group type: Immm, No. 71


No. 16
NdCd4Au4 | PBE | optimized geometry

a b c (Å): 6.486 6.486 9.647
angles (deg): 90.00 90.00 90.00
Positions (direct):
Nd  0.250  0.750  0.250
Nd  0.750  0.250  0.750
Cd  0.027  0.250  0.171
Cd  0.250  0.027  0.671
Cd  0.250  0.473  0.671
Cd  0.473  0.250  0.171
Cd  0.527  0.750  0.829
Cd  0.750  0.527  0.329
Cd  0.750  0.973  0.329
Cd  0.973  0.750  0.829
Au  0.017  0.250  0.472
Au  0.250  0.017  0.972
Au  0.250  0.483  0.972
Au  0.483  0.250  0.472
Au  0.517  0.750  0.528
Au  0.750  0.517  0.028
Au  0.750  0.983  0.028
Au  0.983  0.750  0.528

Computed properties:
* calculated total energy: -47.6 eV for the cell shown
* total moment: 0.0 μB/f.u.
* crystal system: tetragonal
* energy of formation: -0.251 eV per atom
* space-group type: P4_2/nmc, No. 137


No. 17
Nd3Cd7Au4 | PBE | optimized geometry

a b c (Å): 8.721 8.721 10.697
angles (deg): 123.39 123.39 29.76
Positions (direct):
Nd  0.000  0.000  0.000
Nd  0.302  0.302  0.290
Nd  0.698  0.698  0.710
Cd  0.000  0.000  0.500
Cd  0.162  0.162  0.435
Cd  0.328  0.328  0.988
Cd  0.487  0.487  0.685
Cd  0.513  0.513  0.315
Cd  0.672  0.672  0.012
Cd  0.838  0.838  0.565
Au  0.119  0.119  0.825
Au  0.345  0.345  0.746
Au  0.655  0.655  0.254
Au  0.881  0.881  0.175

Computed properties:
* calculated total energy: -40.1 eV for the cell shown
* total moment: 0.0 μB/f.u.
* crystal system: monoclinic
* energy of formation: -0.448 eV per atom
* space-group type: C2/m, No. 12


No. 18
Nd2CdAu4 | PBE | optimized geometry

a b c (Å): 9.468 9.468 9.468
angles (deg): 29.13 29.13 29.13
Positions (direct):
Nd  0.249  0.249  0.249
Nd  0.751  0.751  0.751
Cd  0.000  0.000  0.000
Au  0.137  0.137  0.137
Au  0.364  0.364  0.364
Au  0.636  0.636  0.636
Au  0.863  0.863  0.863

Computed properties:
* calculated total energy: -27.5 eV for the cell shown
* total moment: 0.0 μB/f.u.
* crystal system: trigonal
* energy of formation: -0.567 eV per atom
* space-group type: R-3m, No. 166


No. 19
Nd4CdAu5 | PBE | optimized geometry

a b c (Å): 3.681 3.681 18.158
angles (deg): 90.00 90.00 90.00
Positions (direct):
Nd  0.000  0.000  0.104
Nd  0.000  0.000  0.314
Nd  0.000  0.000  0.686
Nd  0.000  0.000  0.896
Cd  0.000  0.000  0.500
Au  0.500  0.500  0.000
Au  0.500  0.500  0.206
Au  0.500  0.500  0.410
Au  0.500  0.500  0.590
Au  0.500  0.500  0.794

Computed properties:
* calculated total energy: -43.1 eV for the cell shown
* total moment: 0.0 μB/f.u.
* crystal system: tetragonal
* energy of formation: -0.674 eV per atom
* space-group type: P4/mmm, No. 123


No. 20
Nd4CdAu | PBE | optimized geometry

a b c (Å): 6.333 9.444 6.237
angles (deg): 90.00 104.82 90.00
Positions (direct):
Nd  0.093  0.166  0.106
Nd  0.093  0.334  0.606
Nd  0.395  0.656  0.924
Nd  0.395  0.844  0.424
Nd  0.605  0.156  0.576
Nd  0.605  0.344  0.076
Nd  0.907  0.666  0.394
Nd  0.907  0.834  0.894
Cd  0.500  0.000  0.000
Cd  0.500  0.500  0.500
Au  0.000  0.000  0.500
Au  0.000  0.500  0.000

Computed properties:
* calculated total energy: -49.0 eV for the cell shown
* total moment: 0.0 μB/f.u.
* crystal system: monoclinic
* energy of formation: -0.205 eV per atom
* space-group type: P2_1/c, No. 14